1.
Here is a relaxed Pa2CoI2 crystal from the Alexandria database. Energies are from GGA-PBE.

a b c (Å): 4.008 4.010 12.046
angles (deg): 81.83 80.42 60.01
Fractional positions:
Pa 0.710 0.194 0.387
Pa 0.290 0.806 0.613
Co 0.000 0.500 0.500
I 0.451 0.906 0.192
I 0.549 0.094 0.808

Output
**VASP energy**: -6.417 eV per atom
**Calculated density**: 7.80 g/cm3
**Uncorrected formation energy**: -577 meV per atom
**Space group**: C2/m, No. 12
**Magnetization**: 0.5 μB/f.u.

***

2.
Here is a relaxed NaTiBeTe3 crystal from the Alexandria database. Energies are from GGA-PBE.

a b c (Å): 3.959 9.073 9.557
angles (deg): 109.53 90.00 90.00
Fractional positions:
Na 0.250 0.176 0.225
Na 0.750 0.824 0.775
Ti 0.250 0.639 0.128
Ti 0.750 0.361 0.872
Be 0.250 0.076 0.589
Be 0.750 0.924 0.411
Te 0.750 0.872 0.143
Te 0.250 0.128 0.857
Te 0.250 0.785 0.465
Te 0.750 0.215 0.535
Te 0.750 0.444 0.177
Te 0.250 0.556 0.823

Output
**VASP energy**: -4.341 eV per atom
**Calculated density**: 4.75 g/cm3
**Uncorrected formation energy**: -614 meV per atom
**Space group**: P2_1/m, No. 11
**Magnetization**: 1.0 μB/f.u.

***

3.
Here is a relaxed CaPuSc crystal from the Alexandria database. Energies are from GGA-PBE.

a b c (Å): 3.426 3.426 7.966
angles (deg): 102.42 102.42 90.00
Fractional positions:
Sc 0.322 0.322 0.644
Ca 0.998 0.998 0.997
Pu 0.680 0.680 0.360

Output
**VASP energy**: -7.310 eV per atom
**Calculated density**: 6.14 g/cm3
**Energy above the most stable polymorph in this dataset**: 0 meV/atom
**Space group**: I4mm, No. 107
**DFT formation energy**: 24 kJ/mol of atoms
**Magnetization**: 6.4 μB/f.u.

***

4.
Here is a relaxed CaZrTi3 crystal from the Alexandria database. Energies are from GGA-PBE.

a b c (Å): 4.990 4.990 4.990
angles (deg): 90.00 90.00 90.00
Fractional positions:
Ca 0.500 0.500 0.500
Zr 0.000 0.000 0.000
Ti 0.000 0.500 0.000
Ti 0.000 0.000 0.500
Ti 0.500 0.000 0.000

Output
**VASP energy**: -5.965 eV per atom
**Calculated density**: 3.67 g/cm3
**Energy above the most stable polymorph in this dataset**: 0 meV/atom
**Space group**: Pm-3m, No. 221
**DFT formation energy**: 85 kJ/mol of atoms
**Magnetization**: 1.6 μB/f.u.

***

5.
Here is a relaxed BaZr3Pd crystal from the Alexandria database. Energies are from GGA-PBE.

a b c (Å): 5.257 5.257 5.257
angles (deg): 90.00 90.00 90.00
Fractional positions:
Zr 0.000 0.500 0.000
Zr 0.000 0.000 0.500
Zr 0.500 0.000 0.000
Ba 0.500 0.500 0.500
Pd 0.000 0.000 0.000

Output
**VASP energy**: -6.180 eV per atom
**Calculated density**: 5.91 g/cm3
**Space group**: Pm-3m, No. 221
**DFT formation energy**: 36 kJ/mol of atoms
**Magnetization**: 0.0 μB/f.u.

***

6.
Here is a relaxed AsRuC2 crystal from the Alexandria database. Energies are from GGA-PBE.

a b c (Å): 4.721 4.721 5.580
angles (deg): 64.97 64.97 90.00
Fractional positions:
Ru 0.000 0.000 0.000
Ru 0.750 0.250 0.500
As 0.500 0.500 0.000
As 0.250 0.750 0.500
C 0.623 0.125 0.250
C 0.127 0.625 0.250
C 0.375 0.377 0.750
C 0.875 0.873 0.750

Output
**VASP energy**: -7.194 eV per atom
**Calculated density**: 6.66 g/cm3
**Space group**: I-42d, No. 122
**DFT formation energy**: 87 kJ/mol of atoms
**Magnetization**: 0.0 μB/f.u.

***

7.
Here is a relaxed Pm4ZnRu2 crystal from the Alexandria database. Energies are from GGA-PBE.

a b c (Å): 7.843 9.060 7.355
angles (deg): 126.20 98.71 105.79
Fractional positions:
Pm 0.836 0.231 0.286
Pm 0.405 0.622 0.277
Pm 0.832 0.731 0.792
Pm 0.903 0.135 0.680
Pm 0.358 0.957 0.174
Pm 0.428 0.110 0.794
Pm 0.369 0.454 0.676
Pm 0.858 0.608 0.177
Zn 0.163 0.676 0.606
Zn 0.167 0.186 0.092
Ru 0.652 0.299 0.652
Ru 0.661 0.833 0.166
Ru 0.543 0.371 0.293
Ru 0.076 0.538 0.834

Output
**VASP energy**: -5.744 eV per atom
**Calculated density**: 7.57 g/cm3
**Space group**: P1, No. 1
**DFT formation energy**: -19 kJ/mol of atoms
**Magnetization**: 0.0 μB/f.u.

***

8.
Here is a relaxed Er3MgTc crystal from the Alexandria database. Energies are from GGA-PBE.

a b c (Å): 3.392 7.898 9.609
angles (deg): 90.00 89.98 90.00
Fractional positions:
Er 0.091 0.900 0.595
Er 0.090 0.325 0.681
Er 0.091 0.325 0.095
Er 0.091 0.665 0.888
Er 0.090 0.900 0.181
Er 0.091 0.560 0.388
Mg 0.590 0.032 0.887
Mg 0.590 0.193 0.387
Tc 0.591 0.612 0.138
Tc 0.591 0.612 0.638

Output
**VASP energy**: -5.155 eV per atom
**Calculated density**: 8.05 g/cm3
**Energy above the most stable polymorph in this dataset**: 73 meV/atom
**Space group**: Pmc2_1, No. 26
**DFT formation energy**: -2 kJ/mol of atoms
**Magnetization**: 0.0 μB/f.u.

***

9.
Here is a relaxed Er2Pd9Pb crystal from the Alexandria database. Energies are from GGA-PBE.

a b c (Å): 4.110 4.110 12.299
angles (deg): 90.00 90.00 90.00
Fractional positions:
Er 0.000 0.000 0.334
Er 0.000 0.000 0.666
Pd 0.500 0.500 0.000
Pd 0.500 0.500 0.332
Pd 0.500 0.500 0.668
Pd 0.500 0.000 0.167
Pd 0.500 0.000 0.500
Pd 0.500 0.000 0.833
Pd 0.000 0.500 0.167
Pd 0.000 0.500 0.500
Pd 0.000 0.500 0.833
Pb 0.000 0.000 0.000

Output
**VASP energy**: -5.664 eV per atom
**Calculated density**: 11.99 g/cm3
**Space group**: P4/mmm, No. 123
**DFT formation energy**: -67 kJ/mol of atoms
**Magnetization**: 0.0 μB/f.u.

***

10.
Here is a relaxed ReHg2As crystal from the Alexandria database. Energies are from GGA-PBE.

a b c (Å): 3.211 3.300 8.025
angles (deg): 89.58 90.00 90.00
Fractional positions:
Re 0.000 0.253 0.567
As 0.500 0.751 0.693
Hg 0.000 0.246 0.964
Hg 0.500 0.250 0.276

Output
**VASP energy**: -4.046 eV per atom
**Calculated density**: 12.94 g/cm3
**Space group**: Pm, No. 6
**DFT formation energy**: 37 kJ/mol of atoms
**Magnetization**: 0.0 μB/f.u.

***

11.
Here is a relaxed SrAcCuRh crystal from the Alexandria database. Energies are from GGA-PBE.

a b c (Å): 5.250 5.250 5.250
angles (deg): 60.00 60.00 60.00
Fractional positions:
Sr 0.750 0.750 0.750
Ac 0.250 0.250 0.250
Rh 0.500 0.500 0.500
Cu 0.000 0.000 0.000

Output
**VASP energy**: -4.537 eV per atom
**Calculated density**: 7.81 g/cm3
**Energy above the most stable polymorph in this dataset**: 129 meV/atom
**Space group**: F-43m, No. 216
**DFT formation energy**: -22 kJ/mol of atoms
**Magnetization**: 0.0 μB/f.u.

***

12.
Here is a relaxed EuH2 crystal from the Alexandria database. Energies are from GGA-PBE.

a b c (Å): 3.255 3.255 4.125
angles (deg): 113.21 113.21 90.05
Fractional positions:
Eu 0.500 0.500 0.000
H 0.152 0.152 0.303
H 0.848 0.848 0.697

Output
**VASP energy**: -6.070 eV per atom
**Calculated density**: 7.05 g/cm3
**Space group**: I4/mmm, No. 139
**Magnetization**: 7.0 μB/f.u.

***

13.
Here is a relaxed LiAs2Pd2 crystal from the Alexandria database. Energies are from GGA-PBE.

a b c (Å): 5.529 5.529 7.789
angles (deg): 99.29 99.29 123.60
Fractional positions:
Li 0.876 0.624 0.750
Li 0.124 0.376 0.250
As 0.166 0.334 0.750
As 0.414 0.086 0.250
As 0.586 0.914 0.750
As 0.834 0.666 0.250
Pd 0.276 0.024 0.557
Pd 0.524 0.776 0.057
Pd 0.724 0.976 0.443
Pd 0.476 0.224 0.943

Output
**VASP energy**: -4.707 eV per atom
**Calculated density**: 6.59 g/cm3
**Energy above the most stable polymorph in this dataset**: 25 meV/atom
**Space group**: C2/c, No. 15
**DFT formation energy**: -37 kJ/mol of atoms
**Magnetization**: 0.0 μB/f.u.

***

| no. | V (Å³/f.u.) |
| --- | --- |
| 1 | 165.0 |
| 2 | 161.8 |
| 3 | 89.1 |
| 4 | 124.2 |
| 5 | 145.3 |
| 6 | 49.8 |
| 7 | 185.8 |
| 8 | 128.7 |
| 9 | 207.7 |
| 10 | 85.0 |
| 11 | 102.3 |
| 12 | 36.3 |
| 13 | 93.2 |